# 1
Below is an optimized crystal structure of Mg19Ge5, with properties calculated at the GGA-PBE level.

- Formation energy: 0.143 eV per atom
- E: -2.081 eV per atom

CIF file:
```
data_Mg19Ge5
_chemical_formula_sum 'Mg19 Ge5'
_symmetry_space_group_name_H-M 'P -4 3 m'
_symmetry_Int_Tables_number 215
_symmetry_space_group_name_Hall 'P -4 2 3'
_cell_length_a 8.153
_cell_length_b 8.153
_cell_length_c 8.153
_cell_angle_alpha 90.00
_cell_angle_beta 90.00
_cell_angle_gamma 90.00
loop_
_atom_site_label
_atom_site_type_symbol
_atom_site_fract_x
_atom_site_fract_y
_atom_site_fract_z
Mg1 Mg 0.000 0.000 0.500
Mg2 Mg 0.126 0.126 0.874
Mg3 Mg 0.130 0.377 0.623
Ge1 Ge 0.226 0.226 0.226
Ge2 Ge 0.500 0.500 0.500
```

# 2
Below is an optimized crystal structure of Li2CrTc, with properties calculated at the GGA-PBE level.

- Formation energy: 0.385 eV per atom
- E: -5.569 eV per atom
- Polymorph energy (0 for the lowest one): 0.59 eV per formula unit

CIF file:
```
data_Li2CrTc
_chemical_formula_sum 'Li8 Cr4 Tc4'
_symmetry_space_group_name_H-M 'F -4 3 m'
_symmetry_Int_Tables_number 216
_symmetry_space_group_name_Hall 'F -4 2 3'
_cell_length_a 5.952
_cell_length_b 5.952
_cell_length_c 5.952
_cell_angle_alpha 90.00
_cell_angle_beta 90.00
_cell_angle_gamma 90.00
loop_
_atom_site_label
_atom_site_type_symbol
_atom_site_fract_x
_atom_site_fract_y
_atom_site_fract_z
Li1 Li 0.000 0.000 0.000
Li2 Li 0.250 0.250 0.250
Cr1 Cr 0.000 0.000 0.500
Tc1 Tc 0.250 0.250 0.750
```

# 3
Below is an optimized crystal structure of Fe2Ni2Rh7, with properties calculated at the GGA-PBE level.

- Formation energy: 0.115 eV per atom
- E: -7.153 eV per atom

CIF file:
```
data_Fe2Ni2Rh7
_chemical_formula_sum 'Fe4 Ni4 Rh14'
_symmetry_space_group_name_H-M 'I m m 2'
_symmetry_Int_Tables_number 44
_cell_length_a 4.024
_cell_length_b 11.176
_cell_length_c 6.687
_cell_angle_alpha 90.00
_cell_angle_beta 90.00
_cell_angle_gamma 90.00
loop_
_symmetry_equiv_pos_as_xyz
'x,y,z'
'-x,-y,z'
'-x,y,z'
'x,-y,z'
'x+1/2,y+1/2,z+1/2'
'-x+1/2,-y+1/2,z+1/2'
'-x+1/2,y+1/2,z+1/2'
'x+1/2,-y+1/2,z+1/2'
loop_
_atom_site_label
_atom_site_type_symbol
_atom_site_fract_x
_atom_site_fract_y
_atom_site_fract_z
Fe1 Fe 0.000 0.201 0.000
Ni1 Ni 0.000 0.000 0.801
Ni2 Ni 0.000 0.500 0.996
Rh1 Rh 0.000 0.000 0.180
Rh2 Rh 0.000 0.143 0.500
Rh3 Rh 0.000 0.346 0.712
Rh4 Rh 0.000 0.354 0.290
```

# 4
Below is an optimized crystal structure of TaAgHg2, with properties calculated at the GGA-PBE level.

- Formation energy: 0.441 eV per atom
- E: -3.386 eV per atom

CIF file:
```
data_TaAgHg2
_chemical_formula_sum 'Ta2 Ag2 Hg4'
_symmetry_space_group_name_H-M 'C 1 2/m 1'
_symmetry_Int_Tables_number 12
_cell_length_a 9.433
_cell_length_b 3.014
_cell_length_c 5.671
_cell_angle_alpha 90.00
_cell_angle_beta 99.00
_cell_angle_gamma 90.00
loop_
_symmetry_equiv_pos_as_xyz
'x,y,z'
'-x,-y,-z'
'-x,y,-z'
'x,-y,z'
'x+1/2,y+1/2,z'
'-x+1/2,-y+1/2,-z'
'-x+1/2,y+1/2,-z'
'x+1/2,-y+1/2,z'
loop_
_atom_site_label
_atom_site_type_symbol
_atom_site_fract_x
_atom_site_fract_y
_atom_site_fract_z
Ta1 Ta 0.000 0.000 0.000
Ag1 Ag 0.000 0.500 0.500
Hg1 Hg 0.249 0.500 0.247
```

# 5
Below is an optimized crystal structure of ReSN2Cl, with properties calculated at the GGA-PBE level.

- Uncorrected formation energy: 2.6404 eV per atom
- E: -4.374 eV per atom
- Polymorph energy (0 for the lowest one): 10.16 eV per formula unit

CIF file:
```
data_ReSN2Cl
_chemical_formula_sum 'Re1 S1 N2 Cl1'
_symmetry_space_group_name_H-M 'P 4/m m m'
_symmetry_Int_Tables_number 123
_symmetry_space_group_name_Hall '-P 4 2'
_cell_length_a 3.760
_cell_length_b 3.760
_cell_length_c 4.343
_cell_angle_alpha 90.00
_cell_angle_beta 90.00
_cell_angle_gamma 90.00
loop_
_atom_site_label
_atom_site_type_symbol
_atom_site_fract_x
_atom_site_fract_y
_atom_site_fract_z
Re1 Re 0.000 0.000 0.000
S1 S 0.500 0.500 0.000
N1 N 0.000 0.500 0.500
Cl1 Cl 0.500 0.500 0.500
```

# 6
Below is an optimized crystal structure of TiRuC3, with properties calculated at the GGA-PBE level.

- Formation energy: 2.259 eV per atom
- E: -6.709 eV per atom

CIF file:
```
data_TiRuC3
_chemical_formula_sum 'Ti1 Ru1 C3'
_symmetry_space_group_name_H-M 'P m -3 m'
_symmetry_Int_Tables_number 221
_symmetry_space_group_name_Hall '-P 4 2 3'
_cell_length_a 3.921
_cell_length_b 3.921
_cell_length_c 3.921
_cell_angle_alpha 90.00
_cell_angle_beta 90.00
_cell_angle_gamma 90.00
loop_
_atom_site_label
_atom_site_type_symbol
_atom_site_fract_x
_atom_site_fract_y
_atom_site_fract_z
Ti1 Ti 0.000 0.000 0.000
Ru1 Ru 0.500 0.500 0.500
C1 C 0.000 0.000 0.500
```

# 7
Below is an optimized crystal structure of Tl2RhPb, with properties calculated at the GGA-PBE level.

- Formation energy: 0.078 eV per atom
- E: -3.870 eV per atom
- Polymorph energy (0 for the lowest one): 0.15 eV per formula unit

CIF file:
```
data_Tl2RhPb
_chemical_formula_sum 'Tl6 Rh3 Pb3'
_symmetry_space_group_name_H-M 'R 3 m'
_symmetry_Int_Tables_number 160
_symmetry_space_group_name_Hall 'R 3 -2"'
_cell_length_a 3.4895
_cell_length_b 3.4895
_cell_length_c 29.0539
_cell_angle_alpha 90.00
_cell_angle_beta 90.00
_cell_angle_gamma 120.00
loop_
_atom_site_label
_atom_site_type_symbol
_atom_site_fract_x
_atom_site_fract_y
_atom_site_fract_z
Tl1 Tl 0.0000 0.0000 0.0000
Tl2 Tl 0.0000 0.0000 0.2368
Rh1 Rh 0.0000 0.0000 0.5022
Pb1 Pb 0.0000 0.0000 0.7690
```

# 8
Below is an optimized crystal structure of CuHgAs2, with properties calculated at the GGA-PBE level.

- Formation energy: 0.306 eV per atom
- E: -3.118 eV per atom

CIF file:
```
data_CuHgAs2
_chemical_formula_sum 'Cu1 Hg1 As2'
_symmetry_space_group_name_H-M 'P 4 m m'
_symmetry_Int_Tables_number 99
_cell_length_a 2.941
_cell_length_b 2.941
_cell_length_c 8.719
_cell_angle_alpha 90.00
_cell_angle_beta 90.00
_cell_angle_gamma 90.00
loop_
_symmetry_equiv_pos_as_xyz
'x,y,z'
'-y,x,z'
'-x,-y,z'
'y,-x,z'
'-x,y,z'
'y,x,z'
'x,-y,z'
'-y,-x,z'
loop_
_atom_site_label
_atom_site_type_symbol
_atom_site_fract_x
_atom_site_fract_y
_atom_site_fract_z
Cu1 Cu 0.000 0.000 0.000
Hg1 Hg 0.500 0.500 0.238
As1 As 0.000 0.000 0.526
As2 As 0.500 0.500 0.816
```